No. 1
Computed, not measured: Cu2TcRh after structural relaxation at the GGA-PBE level of DFT.

```
Cu2TcRh
1.0
2.699 0.000 0.000
0.000 3.763 0.000
0.000 0.000 5.274
Cu Tc Rh
2 1 1
Cartesian
0.000 0.000 0.000 Cu
1.349 1.882 1.162 Cu
1.349 1.882 3.811 Tc
0.000 0.000 2.635 Rh
```

Calculated values
The calculation puts the formation energy at 0.075 eV per atom. The total moment comes out at 0.00 μB per formula unit. As for the calculated total energy: -25.6 eV/f.u. The polymorph energy (0 for the lowest one) comes out at 0.12 eV per formula unit.


No. 2
Computed, not measured: Cu2TcRh after structural relaxation at the GGA-PBE level of DFT.

```
Cu2TcRh
1.0
-1.439 2.163 4.229
1.439 -2.163 4.229
1.439 2.163 -4.229
Cu Tc Rh
2 1 1
Cartesian
0.000 0.000 0.000 Cu
0.000 2.163 2.298 Cu
0.000 0.000 4.350 Tc
1.439 0.000 2.154 Rh
```

Calculated values
The calculation puts the formation energy at 0.183 eV per atom. The total moment comes out at 0.00 μB per formula unit. As for the calculated total energy: -25.2 eV/f.u. The polymorph energy (0 for the lowest one) comes out at 0.56 eV per formula unit.


> What is the formula in the first record?

Cu2TcRh


Please write out number 2 again, unchanged.
Computed, not measured: Cu2TcRh after structural relaxation at the GGA-PBE level of DFT.

```
Cu2TcRh
1.0
-1.439 2.163 4.229
1.439 -2.163 4.229
1.439 2.163 -4.229
Cu Tc Rh
2 1 1
Cartesian
0.000 0.000 0.000 Cu
0.000 2.163 2.298 Cu
0.000 0.000 4.350 Tc
1.439 0.000 2.154 Rh
```

Calculated values
The calculation puts the formation energy at 0.183 eV per atom. The total moment comes out at 0.00 μB per formula unit. As for the calculated total energy: -25.2 eV/f.u. The polymorph energy (0 for the lowest one) comes out at 0.56 eV per formula unit.